[1]
ReAs2Pb: relaxed, PBE.

Summary:
- SG: Imm2, No. 44
- E_form: 221.7 meV per atom

```
data_ReAs2Pb
_symmetry_space_group_name_H-M 'P 1'
_symmetry_Int_Tables_number 1
_cell_length_a 8.856
_cell_length_b 8.856
_cell_length_c 8.856
_cell_angle_alpha 159.50
_cell_angle_beta 159.13
_cell_angle_gamma 29.42
loop_
_symmetry_equiv_pos_as_xyz
'x,y,z'
loop_
_atom_site_label
_atom_site_type_symbol
_atom_site_fract_x
_atom_site_fract_y
_atom_site_fract_z
Pb1 Pb 0.439 0.439 0.000
Re1 Re 0.200 0.700 0.500
As1 As 0.088 0.088 0.000
As2 As 0.773 0.273 0.500
```



[2]
TaAgBr2: relaxed, PBE.

Summary:
- SG: Immm, No. 71
- E_form (uncorrected): -6 kJ per mole of atoms

```
data_TaAgBr2
_symmetry_space_group_name_H-M 'P 1'
_symmetry_Int_Tables_number 1
_cell_length_a 7.937
_cell_length_b 7.937
_cell_length_c 7.937
_cell_angle_alpha 157.31
_cell_angle_beta 143.14
_cell_angle_gamma 43.72
loop_
_symmetry_equiv_pos_as_xyz
'x,y,z'
loop_
_atom_site_label
_atom_site_type_symbol
_atom_site_fract_x
_atom_site_fract_y
_atom_site_fract_z
Br1 Br 0.895 0.895 0.000
Br2 Br 0.605 0.605 0.000
Ag1 Ag 0.250 0.750 0.500
Ta1 Ta 0.750 0.250 0.500
```